The following is a DFT calculation (PBE-GGA) of crystalline Cu2TeAu at its relaxed geometry.

Values from the calculation:
calculated volume = 19.35 Å³ per atom
ΔE_f (raw) = 0.16 eV per atom
final energy = -41.92 eV/cell
density of states at the Fermi level = 5.27 states/eV/cell

Lattice parameters (Å, degrees): 4.0205 4.0205 16.5830 90.00 90.00 120.00
Space group R3m (No. 160, hexagonal axes)
Unique sites:
1 Cu 0.0000 0.0000 0.0000 (multiplicity 3)
2 Cu 0.0000 0.0000 0.1593 (multiplicity 3)
3 Te 0.0000 0.0000 0.5721 (multiplicity 3)
4 Au 0.0000 0.0000 0.7466 (multiplicity 3)